Record 1
Compound: DyMgTl3
Source: Alexandria
Functional: PBE
Structure: optimized geometry

```
DyMgTl3
1.0
-0.551 -4.433 1.344
5.894 -1.930 -3.949
4.656 1.331 6.299
Dy Mg Tl
2 2 6
direct
0.500 0.000 0.210
0.000 0.500 0.790
0.000 0.000 0.555
0.500 0.500 0.445
0.000 0.713 0.292
0.500 0.787 0.708
0.500 0.213 0.708
0.000 0.287 0.292
0.000 0.000 0.931
0.500 0.500 0.069
```

- Calculated volume: 27.25 Å³/atom
- ΔE_f: -0.072 eV per atom

=====

Record 2
Compound: RbGeSb2Te
Source: Alexandria
Functional: PBE
Structure: optimized geometry

```
RbGeSb2Te
1.0
5.953 0.000 0.000
0.000 5.953 0.000
0.000 0.000 6.113
Sb Ge Te Rb
2 1 1 1
direct
0.000 0.500 0.000
0.500 0.000 0.000
0.500 0.500 0.500
0.000 0.000 0.500
0.000 0.000 0.000
```

- Calculated volume: 43.32 Å³/atom
- Energy relative to the lowest polymorph listed for this composition: 1.3063 eV/atom
- Formation energy without anion corrections: 1463.4 meV per atom

=====

Record 3
Compound: Rb2NbNi2
Source: Alexandria
Functional: PBE
Structure: optimized geometry

```
Rb2NbNi2
1.0
-2.857 -1.886 1.930
1.020 -3.357 -1.771
3.852 -4.123 5.675
Ni Nb Rb
2 1 2
direct
0.426 0.426 0.148
0.574 0.574 0.852
0.000 0.000 0.000
0.750 0.250 0.500
0.250 0.750 0.500
```

- Calculated volume: 23.18 Å³/atom
- Energy relative to the lowest polymorph listed for this composition: 0.5299 eV/atom
- ΔE_f: 1.421 eV per atom